i) DFT (PBE-GGA) results for PtWBr2 after structural relaxation.

Cell: 5.422 5.422 3.104 Å, 103.68 103.68 112.71°
Sites, in units of the cell vectors:
Pt: 0.000 0.000 0.000
W: 0.500 0.500 0.000
Br: 0.000 0.500 0.000
Br: 0.500 0.000 0.000

## Properties
D(E_F): 3.6 states/eV per cell
space group: C2/m
total magnetization: 0.2586 μB per atom

ii) DFT (PBE-GGA) results for PtWBr2 after structural relaxation.

Cell: 2.993 4.533 5.623 Å, 90.00 90.00 90.00°
Sites, in units of the cell vectors:
Pt: 0.000 0.000 0.000
W: 0.500 0.000 0.500
Br: 0.000 0.500 0.500
Br: 0.500 0.500 0.000

## Properties
D(E_F): 3.4 states/eV per cell
space group: Pmmm
total magnetization: 0.2676 μB per atom

Most stable structure - i); separation to the second - 0.028 eV/atom.

i) DFT (PBE-GGA) results for Pt2WBr after structural relaxation.

Cell: 2.870 2.968 8.525 Å, 90.00 90.06 90.00°
Sites, in units of the cell vectors:
Pt: 0.001 0.000 0.210
Pt: 0.999 0.000 0.790
W: 0.500 0.500 0.000
Br: 0.000 0.500 0.500

## Properties
D(E_F): 2.9 states/eV per cell
space group: P2/m
total magnetization: 0.0000 μB per atom

ii) DFT (PBE-GGA) results for Pt2WBr after structural relaxation.

Cell: 2.881 2.881 9.977 Å, 90.00 90.00 119.66°
Sites, in units of the cell vectors:
Pt: 0.000 0.000 0.000
Pt: 0.500 0.500 0.242
W: 0.000 0.000 0.464
Br: 0.500 0.500 0.692

## Properties
D(E_F): 3.5 states/eV per cell
space group: Cmm2
total magnetization: 0.0000 μB per atom

iii) DFT (PBE-GGA) results for Pt2WBr after structural relaxation.

Cell: 4.611 4.611 4.611 Å, 60.00 60.00 60.00°
Sites, in units of the cell vectors:
Pt: 0.250 0.250 0.250
Pt: 0.750 0.750 0.750
W: 0.000 0.000 0.000
Br: 0.500 0.500 0.500

## Properties
D(E_F): 3.7 states/eV per cell
space group: Fm-3m
total magnetization: 0.0000 μB per atom

Most stable structure - i); separation to the second - 0.480 eV/atom.

i) DFT (PBE-GGA) results for Pt2WBr after structural relaxation.

Cell: 8.899 8.899 8.899 Å, 161.90 158.77 28.04°
Sites, in units of the cell vectors:
Pt: 0.000 0.000 0.000
Pt: 0.795 0.295 0.500
W: 0.389 0.889 0.500
Br: 0.654 0.654 0.000

## Properties
D(E_F): 1.9 states/eV per cell
space group: Imm2
total magnetization: 0.0000 μB per atom

ii) DFT (PBE-GGA) results for Pt2WBr after structural relaxation.

Cell: 3.051 3.513 7.383 Å, 90.00 90.33 90.00°
Sites, in units of the cell vectors:
Pt: 0.000 0.000 0.000
Pt: 0.497 0.500 0.802
W: 0.995 0.000 0.631
Br: 0.990 0.500 0.367

## Properties
D(E_F): 2.5 states/eV per cell
space group: Pm
total magnetization: 0.0000 μB per atom

iii) DFT (PBE-GGA) results for Pt2WBr after structural relaxation.

Cell: 5.047 5.047 2.742 Å, 90.00 90.00 90.00°
Sites, in units of the cell vectors:
Pt: 0.000 0.500 0.000
Pt: 0.500 0.000 0.000
W: 0.000 0.000 0.500
Br: 0.500 0.500 0.500

## Properties
D(E_F): 4.7 states/eV per cell
space group: P4/mmm
total magnetization: 0.0000 μB per atom

Most stable structure - ii); separation to the second - 0.013 eV/atom.

i) DFT (PBE-GGA) results for Pt2WBr after structural relaxation.

Cell: 2.901 4.758 4.888 Å, 90.00 90.00 90.00°
Sites, in units of the cell vectors:
Pt: 0.000 0.000 0.000
Pt: 0.500 0.500 0.000
W: 0.000 0.500 0.500
Br: 0.500 0.000 0.500

## Properties
D(E_F): 5.0 states/eV per cell
space group: Pmmm
total magnetization: 0.0003 μB per atom

ii) DFT (PBE-GGA) results for Pt2WBr after structural relaxation.

Cell: 2.965 2.965 8.291 Å, 90.00 90.00 90.00°
Sites, in units of the cell vectors:
Pt: 0.000 0.000 0.000
Pt: 0.500 0.500 0.235
W: 0.000 0.000 0.434
Br: 0.500 0.500 0.648

## Properties
D(E_F): 1.9 states/eV per cell
space group: P4mm
total magnetization: 0.0000 μB per atom

iii) DFT (PBE-GGA) results for Pt2WBr after structural relaxation.

Cell: 4.547 4.547 4.547 Å, 120.07 119.97 89.96°
Sites, in units of the cell vectors:
Pt: 0.000 0.000 0.000
Pt: 0.750 0.250 0.500
W: 0.248 0.748 0.500
Br: 0.501 0.501 0.000

## Properties
D(E_F): 3.2 states/eV per cell
space group: Imm2
total magnetization: 0.0000 μB per atom

Most stable structure - ii); separation to the second - 0.302 eV/atom.

i) DFT (PBE-GGA) results for Pt2WBr after structural relaxation.

Cell: 5.120 5.120 4.722 Å, 95.98 95.98 33.80°
Sites, in units of the cell vectors:
Pt: 0.223 0.223 0.230
Pt: 0.777 0.777 0.770
W: 0.500 0.500 0.000
Br: 0.000 0.000 0.500

## Properties
D(E_F): 4.2 states/eV per cell
space group: C2/m
total magnetization: 0.0000 μB per atom

ii) DFT (PBE-GGA) results for Pt2WBr after structural relaxation.

Cell: 5.842 5.842 5.842 Å, 151.49 131.88 56.88°
Sites, in units of the cell vectors:
Pt: 0.223 0.223 0.000
Pt: 0.777 0.777 0.000
W: 0.000 0.500 0.500
Br: 0.500 0.000 0.500

## Properties
D(E_F): 3.2 states/eV per cell
space group: Immm
total magnetization: 0.0010 μB per atom

iii) DFT (PBE-GGA) results for Pt2WBr after structural relaxation.

Cell: 6.418 6.418 6.418 Å, 118.61 118.61 92.42°
Sites, in units of the cell vectors:
Pt: 0.091 0.625 0.966
Pt: 0.375 0.341 0.466
Pt: 0.659 0.125 0.034
Pt: 0.875 0.909 0.534
W: 0.000 0.000 0.000
W: 0.750 0.250 0.500
Br: 0.250 0.750 0.500
Br: 0.500 0.500 0.000

## Properties
D(E_F): 4.2 states/eV per cell
space group: I-42d
total magnetization: 0.0000 μB per atom

Most stable structure - ii); separation to the second - 0.039 eV/atom.

i) DFT (PBE-GGA) results for PtWBr after structural relaxation.

Cell: 6.949 6.949 6.949 Å, 154.97 154.97 35.69°
Sites, in units of the cell vectors:
Pt: 0.000 0.000 0.000
W: 0.622 0.622 0.000
Br: 0.256 0.256 0.000

## Properties
D(E_F): 2.9 states/eV per cell
space group: I4mm
total magnetization: 0.0000 μB per atom

ii) DFT (PBE-GGA) results for PtWBr after structural relaxation.

Cell: 4.476 4.476 2.957 Å, 90.00 90.00 120.00°
Sites, in units of the cell vectors:
Pt: 0.000 0.000 0.000
W: 0.333 0.667 0.500
Br: 0.667 0.333 0.500

## Properties
D(E_F): 3.9 states/eV per cell
space group: P-6m2
total magnetization: 0.0000 μB per atom

iii) DFT (PBE-GGA) results for PtWBr after structural relaxation.

Cell: 4.483 4.483 4.483 Å, 60.00 60.00 60.00°
Sites, in units of the cell vectors:
Pt: 0.000 0.000 0.000
W: 0.750 0.750 0.750
Br: 0.250 0.250 0.250

## Properties
D(E_F): 3.5 states/eV per cell
space group: F-43m
total magnetization: 0.5604 μB per atom

Most stable structure - i); separation to the second - 0.472 eV/atom.

i) DFT (PBE-GGA) results for PtWBr after structural relaxation.

Cell: 3.030 3.030 6.801 Å, 90.00 90.00 120.00°
Sites, in units of the cell vectors:
Pt: 0.000 0.000 0.000
W: 0.667 0.333 0.301
Br: 0.333 0.667 0.596

## Properties
D(E_F): 2.2 states/eV per cell
space group: P3m1
total magnetization: 0.0000 μB per atom

ii) DFT (PBE-GGA) results for PtWBr after structural relaxation.

Cell: 4.372 4.372 4.372 Å, 60.00 60.00 60.00°
Sites, in units of the cell vectors:
Pt: 0.000 0.000 0.000
W: 0.750 0.750 0.750
Br: 0.500 0.500 0.500

## Properties
D(E_F): 3.7 states/eV per cell
space group: F-43m
total magnetization: 0.0021 μB per atom

Most stable structure - i); separation to the second - 0.369 eV/atom.

i) DFT (PBE-GGA) results for YPt2Br after structural relaxation.

Cell: 3.803 3.814 5.814 Å, 90.00 94.93 90.00°
Sites, in units of the cell vectors:
Y: 0.000 0.000 0.000
Pt: 0.457 0.500 0.771
Pt: 0.543 0.500 0.229
Br: 0.000 0.000 0.500

## Properties
D(E_F): 1.9 states/eV per cell
space group: P2/m
total magnetization: 0.0000 μB per atom

ii) DFT (PBE-GGA) results for YPt2Br after structural relaxation.

Cell: 7.431 7.431 7.431 Å, 33.77 33.77 33.77°
Sites, in units of the cell vectors:
Y: 0.000 0.000 0.000
Pt: 0.416 0.416 0.416
Pt: 0.746 0.746 0.746
Br: 0.248 0.248 0.248

## Properties
D(E_F): 0.0 states/eV per cell
space group: R3m
total magnetization: 0.0000 μB per atom

Most stable structure - ii); separation to the second - 0.218 eV/atom.